# 1
The following is a DFT calculation (PBE) of a relaxed structure of UOsPt.

* size of the total moment: 0.0 μB per formula unit
* calculated total energy: -0.3437 Ha/atom
* symmetry: No. 216
* E above lowest polymorph: 0.0 meV per atom

Lattice parameters (Å, degrees): 4.470 4.470 4.470 60.00 60.00 60.00
Positions (direct):
U1 0.750 0.750 0.750
Os1 0.000 0.000 0.000
Pt1 0.250 0.250 0.250

=====

# 2
The following is a DFT calculation (PBE) of a relaxed structure of YHfTlNi.

* size of the total moment: 1.9 μB per formula unit
* calculated total energy: -0.2124 Ha/atom
* symmetry: No. 216

Lattice parameters (Å, degrees): 4.937 4.937 4.937 60.00 60.00 60.00
Positions (direct):
Hf1 0.250 0.250 0.250
Y1 0.500 0.500 0.500
Ni1 0.750 0.750 0.750
Tl1 0.000 0.000 0.000

=====

# 3
The following is a DFT calculation (PBE) of a relaxed structure of YAg.

* size of the total moment: 0.0 μB per formula unit
* calculated total energy: -0.1833 Ha/atom
* symmetry: No. 221

Lattice parameters (Å, degrees): 3.632 3.632 3.632 90.00 90.00 90.00
Positions (direct):
Ag1 0.000 0.000 0.000
Y1 0.500 0.500 0.500

=====

# 4
The following is a DFT calculation (PBE) of a relaxed structure of Sc2Ni2Pb.

* size of the total moment: 0.0 μB per formula unit
* calculated total energy: -0.2110 Ha/atom
* symmetry: No. 139

Lattice parameters (Å, degrees): 5.801 5.801 5.801 135.14 135.14 65.31
Positions (direct):
Ni1 0.614 0.614 0.000
Ni2 0.386 0.386 0.000
Sc1 0.750 0.250 0.500
Sc2 0.250 0.750 0.500
Pb1 0.000 0.000 0.000

=====

# 5
The following is a DFT calculation (PBE) of a relaxed structure of TmMg6Sc.

* size of the total moment: 0.0 μB per formula unit
* calculated total energy: -0.0935 Ha/atom
* symmetry: No. 38
* E above lowest polymorph: 2.3 meV per atom

Lattice parameters (Å, degrees): 4.993 6.399 6.399 68.46 90.00 90.00
Positions (direct):
Mg1 0.000 0.331 0.331
Mg2 0.500 0.177 0.617
Mg3 0.000 0.383 0.821
Mg4 0.000 0.821 0.383
Mg5 0.500 0.617 0.177
Mg6 0.500 0.672 0.672
Tm1 0.500 0.127 0.127
Sc1 0.000 0.872 0.872

=====

# 6
The following is a DFT calculation (PBE) of a relaxed structure of Er3ZrC2S2.

* size of the total moment: 0.0 μB per formula unit
* calculated total energy: -0.2720 Ha/atom
* symmetry: No. 156

Lattice parameters (Å, degrees): 3.593 3.593 12.634 90.00 90.00 120.00
Positions (direct):
Er1 0.000 0.000 0.394
Er2 0.667 0.333 0.604
Er3 0.667 0.333 0.899
C1 0.333 0.667 0.497
C2 0.333 0.667 0.010
S1 0.667 0.333 0.241
S2 0.000 0.000 0.753
Zr1 0.000 0.000 0.102

=====

# 7
The following is a DFT calculation (PBE) of a relaxed structure of NbAg.

* size of the total moment: 0.0 μB per formula unit
* calculated total energy: -0.1958 Ha/atom
* symmetry: No. 194

Lattice parameters (Å, degrees): 4.183 4.183 5.359 90.00 90.00 120.00
Positions (direct):
Ag1 0.000 0.000 0.500
Ag2 0.000 0.000 0.000
Nb1 0.667 0.333 0.750
Nb2 0.333 0.667 0.250

=====

# 8
The following is a DFT calculation (PBE) of a relaxed structure of SnBiAu2.

* calculated total energy: -0.1292 Ha/atom
* symmetry: No. 216

Lattice parameters (Å, degrees): 5.102 5.102 5.102 60.00 60.00 60.00
Positions (direct):
Au1 0.000 0.000 0.000
Au2 0.750 0.750 0.750
Bi1 0.250 0.250 0.250
Sn1 0.500 0.500 0.500

=====

# 9
The following is a DFT calculation (PBE) of a relaxed structure of NdTm2In3AgPt2.

* size of the total moment: 0.0 μB per formula unit
* calculated total energy: -0.1800 Ha/atom
* symmetry: No. 38

Lattice parameters (Å, degrees): 3.789 7.855 7.855 120.47 90.00 90.00
Positions (direct):
Tm1 0.000 0.000 0.590
Tm2 0.000 0.590 0.000
Pt1 0.500 0.673 0.331
Pt2 0.500 0.331 0.673
Nd1 0.000 0.408 0.408
In1 0.500 0.996 0.268
In2 0.500 0.735 0.735
In3 0.500 0.268 0.996
Ag1 0.000 0.998 0.998

=====

# 10
The following is a DFT calculation (PBE) of a relaxed structure of Ge3IrPd.

* size of the total moment: 0.0 μB per formula unit
* calculated total energy: -0.2043 Ha/atom
* symmetry: No. 107

Lattice parameters (Å, degrees): 6.242 6.242 6.242 141.65 141.65 55.36
Positions (direct):
Ge1 0.751 0.251 0.500
Ge2 0.409 0.409 0.000
Ge3 0.251 0.751 0.500
Pd1 0.078 0.078 0.000
Ir1 0.625 0.625 0.000

=====

# 11
The following is a DFT calculation (PBE) of a relaxed structure of NbInCoNi.

* size of the total moment: 0.1 μB per formula unit
* calculated total energy: -0.2257 Ha/atom
* symmetry: No. 216
* E above lowest polymorph: 324.3 meV per atom

Lattice parameters (Å, degrees): 4.389 4.389 4.389 60.00 60.00 60.00
Site moments in Bohr magnetons follow the coordinates.
Positions (direct):
In1 0.000 0.000 0.000  0.00
Nb1 0.250 0.250 0.250  -0.01
Co1 0.750 0.750 0.750  0.08
Ni1 0.500 0.500 0.500  0.00

=====

# 12
The following is a DFT calculation (PBE) of a relaxed structure of PPbAuO.

* calculated total energy: -0.1450 Ha/atom
* symmetry: No. 129
* E above lowest polymorph: 697.8 meV per atom

Lattice parameters (Å, degrees): 4.592 4.592 8.752 90.00 90.00 90.00
Positions (direct):
P1 0.000 0.500 0.314
P2 0.500 0.000 0.686
O1 0.500 0.500 0.000
O2 0.000 0.000 0.000
Pb1 0.500 0.500 0.500
Pb2 0.000 0.000 0.500
Au1 0.000 0.500 0.041
Au2 0.500 0.000 0.959